[1]
KMg2Sc | Alexandria via LeMat-Bulk | GGA-PBE | relaxed; relative energy among the computed polymorphs = 0.216 eV per atom; E_form = 0.38 eV per atom; D(E_F) = 4.061 states/eV/f.u.
1.0
4.135 0.509 3.638
0.533 4.649 2.948
-1.072 -0.028 5.426
Sc K Mg
1 1 2
Cartesian
1.798 2.565 6.006 Sc
0.000 0.000 0.000 K
0.899 1.282 3.003 Mg
2.697 3.847 9.009 Mg

***

[2]
PrBO | Alexandria via LeMat-Bulk | GGA-PBE | relaxed; relative energy among the computed polymorphs = 0.151 eV per atom; D(E_F) = 0.601 states/eV/f.u.
1.0
-1.600 0.169 -3.508
-1.603 -1.127 3.325
-2.913 9.405 1.783
Pr B O
2 2 2
Cartesian
-3.195 1.604 1.603 Pr
-2.921 6.368 2.507 Pr
-3.058 4.314 0.327 B
-3.059 3.666 3.744 B
-2.956 1.248 -0.728 O
-3.159 7.553 0.468 O

***

[3]
NaCdGeIr | Alexandria via LeMat-Bulk | GGA-PBE | relaxed; E_form = -0.20 eV per atom; D(E_F) = 1.230 states/eV/f.u.
1.0
4.154 0.000 0.000
0.000 4.154 0.000
0.000 0.000 10.228
Na Cd Ge Ir
2 2 2 2
Cartesian
3.116 3.116 2.388 Na
1.039 1.039 7.840 Na
1.039 3.116 5.114 Cd
3.116 1.039 5.114 Cd
3.116 3.116 8.869 Ge
1.039 1.039 1.359 Ge
3.116 1.039 0.000 Ir
1.039 3.116 0.000 Ir

***

[4]
BeNi6Sb | Alexandria via LeMat-Bulk | GGA-PBE | relaxed; relative energy among the computed polymorphs = 0.016 eV per atom; D(E_F) = 7.924 states/eV/f.u.
1.0
-2.273 -5.279 2.369
0.858 -0.644 -6.123
9.500 -3.335 1.682
Be Ni Sb
4 24 4
Cartesian
7.202 -4.302 -2.743 Be
5.633 -6.624 1.512 Be
4.169 -4.674 -1.014 Be
8.665 -6.252 -0.218 Be
4.946 -3.547 -3.083 Ni
4.560 -7.092 -0.624 Ni
6.046 -3.051 -1.002 Ni
3.419 -5.809 1.061 Ni
5.241 -4.243 1.182 Ni
5.366 -5.900 -2.808 Ni
1.668 -3.795 -1.457 Ni
3.658 -2.272 -1.369 Ni
2.898 -3.397 0.692 Ni
9.416 -5.116 -2.292 Ni
-0.323 -5.318 -1.544 Ni
1.110 -1.377 -1.821 Ni
7.888 -7.378 1.852 Ni
0.350 -2.503 0.241 Ni
0.437 -4.193 -3.605 Ni
6.417 -5.463 -0.616 Ni
8.274 -3.833 -0.608 Ni
7.469 -5.025 1.577 Ni
2.375 -0.834 0.421 Ni
2.986 -5.088 -3.154 Ni
2.226 -6.213 -1.093 Ni
7.125 -2.501 1.262 Ni
7.594 -6.682 -2.413 Ni
6.788 -7.875 -0.229 Ni
2.462 -2.620 -3.610 Sb
0.874 -4.971 0.697 Sb
4.824 -1.694 0.854 Sb
9.425 -3.309 1.669 Sb

***

[5]
KGe2AsSe6 | Alexandria via LeMat-Bulk | GGA-PBE | relaxed; electronic total energy = -3.917 eV per atom
1.0
7.218 0.571 0.593
2.987 9.226 0.613
2.987 0.270 9.242
K Ge As Se
2 4 2 12
Cartesian
4.791 6.521 3.504 K
8.400 3.546 6.943 K
7.035 7.943 6.535 Ge
2.548 3.546 1.972 Ge
6.157 2.124 3.913 Ge
10.644 6.522 8.476 Ge
4.791 2.258 7.613 As
8.400 7.809 2.835 As
6.371 9.408 8.350 Se
3.211 1.786 0.440 Se
6.820 0.659 2.098 Se
9.980 8.281 10.007 Se
6.545 8.977 4.473 Se
3.037 5.644 1.014 Se
6.646 1.090 5.974 Se
10.154 4.423 9.433 Se
5.581 5.898 6.722 Se
4.001 3.283 4.008 Se
7.610 4.169 3.726 Se
9.190 6.784 6.439 Se

***

[6]
PmAl4Ag | Alexandria via LeMat-Bulk | GGA-PBE | relaxed; relative energy among the computed polymorphs = 0.000 eV per atom; E_form = -0.25 eV per atom; D(E_F) = 1.868 states/eV/f.u.
1.0
5.877 0.246 2.046
1.343 6.810 1.799
0.291 0.246 6.216
Pm Al Ag
2 8 2
Cartesian
1.285 1.597 1.721 Pm
6.225 5.706 8.339 Pm
1.983 5.168 2.657 Al
5.618 4.119 5.274 Al
4.283 0.246 3.236 Al
4.051 3.184 3.175 Al
5.527 2.135 7.404 Al
1.892 3.184 4.786 Al
1.885 0.246 5.026 Al
3.459 4.119 6.886 Al
3.477 5.605 4.657 Ag
4.033 1.698 5.403 Ag

***

| no. | total magnetization (μB per formula unit) |
| --- | --- |
| 1 | 0.000 |
| 2 | 0.000 |
| 3 | 0.000 |
| 4 | 1.000 |
| 5 | 0.000 |
| 6 | 0.000 |